Record 1
A plane-wave DFT calculation with SCAN was carried out for a PBEsol-optimized structure of ReHg2Ir.

Unit cell a=9.3553 b=9.3553 c=9.3553 alpha=17.80 beta=17.80 gamma=17.80
Last column: nearest neighbours and their distance in Å.
Positions (direct):
Re (0.0000, 0.0000, 0.0000)  6 Hg 2.87, 6 Re 2.89
Hg (0.2490, 0.2490, 0.2490)  3 Ir 2.82, 3 Re 2.87, 6 Hg 2.89
Hg (0.7510, 0.7510, 0.7510)  3 Ir 2.82, 3 Re 2.87, 6 Hg 2.89
Ir (0.5000, 0.5000, 0.5000)  6 Hg 2.82, 6 Ir 2.89

Properties
Energy of formation from the pure elements: 0.79 eV/atom

Record 2
A plane-wave DFT calculation with SCAN was carried out for a PBEsol-optimized structure of ReHg2Ir.

Unit cell a=4.7692 b=4.7692 c=2.9520 alpha=90.00 beta=90.00 gamma=90.00
Last column: nearest neighbours and their distance in Å.
Positions (direct):
Re (0.0000, 0.0000, 0.0000)  8 Hg 2.80, 2 Re 2.95
Hg (0.0000, 0.5000, 0.5000)  4 Re 2.80, 4 Ir 2.80, 2 Hg 2.95
Hg (0.5000, 0.0000, 0.5000)  4 Re 2.80, 4 Ir 2.80, 2 Hg 2.95
Ir (0.5000, 0.5000, 0.0000)  8 Hg 2.80, 2 Ir 2.95

Properties
Energy of formation from the pure elements: 1.15 eV/atom